{"formula": "YZr", "functional": "PBE-GGA", "state": "optimized geometry", "vol_a3_per_atom": 27.23, "delta_e_f_ev_per_fu": 0.19, "polymorph_energy_ev_per_atom": 0.050, "rho_g_cm3": 5.49, "cell": [[6.846, 0.000, 0.000], [0.000, 5.382, 0.000], [-1.705, 0.000, 8.870]], "species": ["Y", "Y", "Y", "Y", "Y", "Y", "Zr", "Zr", "Zr", "Zr", "Zr", "Zr"], "frac_coords": [[0.030, 0.250, 0.123], [0.203, 0.250, 0.768], [0.318, 0.750, 0.229], [0.682, 0.250, 0.771], [0.797, 0.750, 0.232], [0.970, 0.750, 0.877], [0.148, 0.750, 0.549], [0.372, 0.250, 0.441], [0.475, 0.750, 0.892], [0.525, 0.250, 0.108], [0.628, 0.750, 0.559], [0.852, 0.250, 0.451]]}

---

{"formula": "YZr", "functional": "PBE-GGA", "state": "optimized geometry", "vol_a3_per_atom": 27.28, "delta_e_f_ev_per_fu": 0.12, "polymorph_energy_ev_per_atom": 0.013, "rho_g_cm3": 5.48, "cell": [[3.390, 0.000, 0.000], [0.000, 5.395, 0.000], [0.000, 0.000, 11.933]], "species": ["Y", "Y", "Y", "Y", "Zr", "Zr", "Zr", "Zr"], "frac_coords": [[0.250, 0.250, 0.055], [0.250, 0.750, 0.224], [0.750, 0.250, 0.776], [0.750, 0.750, 0.945], [0.250, 0.250, 0.533], [0.250, 0.750, 0.687], [0.750, 0.250, 0.313], [0.750, 0.750, 0.467]]}

---

{"formula": "YZr", "functional": "PBE-GGA", "state": "optimized geometry", "vol_a3_per_atom": 27.19, "delta_e_f_ev_per_fu": 0.16, "polymorph_energy_ev_per_atom": 0.034, "rho_g_cm3": 5.50, "cell": [[5.360, 0.000, 0.000], [0.000, 8.606, 2.947], [0.000, -8.606, 2.947]], "species": ["Y", "Y", "Y", "Y", "Y", "Zr", "Zr", "Zr", "Zr", "Zr"], "frac_coords": [[0.000, 0.000, 0.000], [0.000, 0.417, 0.624], [0.000, 0.624, 0.417], [0.500, 0.061, 0.273], [0.500, 0.273, 0.061], [0.000, 0.203, 0.784], [0.000, 0.784, 0.203], [0.500, 0.481, 0.890], [0.500, 0.668, 0.668], [0.500, 0.890, 0.481]]}

---

{"formula": "YZr", "functional": "PBE-GGA", "state": "optimized geometry", "vol_a3_per_atom": 27.23, "delta_e_f_ev_per_fu": 0.15, "polymorph_energy_ev_per_atom": 0.028, "rho_g_cm3": 5.49, "cell": [[5.388, 0.000, 0.000], [0.000, 6.813, 0.000], [0.000, 0.000, 11.866]], "species": ["Y", "Y", "Y", "Y", "Y", "Y", "Y", "Y", "Zr", "Zr", "Zr", "Zr", "Zr", "Zr", "Zr", "Zr"], "frac_coords": [[0.250, 0.003, 0.086], [0.250, 0.250, 0.341], [0.250, 0.250, 0.814], [0.250, 0.497, 0.086], [0.750, 0.503, 0.914], [0.750, 0.750, 0.186], [0.750, 0.750, 0.659], [0.750, 0.997, 0.914], [0.250, 0.001, 0.579], [0.250, 0.499, 0.579], [0.250, 0.750, 0.356], [0.250, 0.750, 0.822], [0.750, 0.250, 0.178], [0.750, 0.250, 0.644], [0.750, 0.501, 0.421], [0.750, 0.999, 0.421]]}

---

{"formula": "YZr", "functional": "PBE-GGA", "state": "optimized geometry", "vol_a3_per_atom": 27.21, "delta_e_f_ev_per_fu": 0.15, "polymorph_energy_ev_per_atom": 0.031, "rho_g_cm3": 5.50, "cell": [[5.356, 0.000, 0.000], [0.000, 10.410, 0.000], [0.000, 0.000, 5.856]], "species": ["Y", "Y", "Y", "Y", "Y", "Y", "Zr", "Zr", "Zr", "Zr", "Zr", "Zr"], "frac_coords": [[0.000, 0.079, 0.000], [0.000, 0.258, 0.522], [0.000, 0.742, 0.022], [0.000, 0.921, 0.500], [0.500, 0.256, 0.159], [0.500, 0.744, 0.659], [0.000, 0.433, 0.994], [0.000, 0.567, 0.494], [0.500, 0.077, 0.669], [0.500, 0.429, 0.686], [0.500, 0.571, 0.186], [0.500, 0.923, 0.169]]}

---

{"formula": "YZr", "functional": "PBE-GGA", "state": "optimized geometry", "vol_a3_per_atom": 27.21, "delta_e_f_ev_per_fu": 0.18, "polymorph_energy_ev_per_atom": 0.046, "rho_g_cm3": 5.50, "cell": [[3.391, 0.000, 0.000], [0.000, 5.337, 0.000], [0.000, 0.000, 6.015]], "species": ["Y", "Y", "Zr", "Zr"], "frac_coords": [[0.250, 0.250, 0.099], [0.750, 0.750, 0.901], [0.250, 0.750, 0.428], [0.750, 0.250, 0.572]]}